Record 1
DFT (PBE) results for a relaxed structure of LaIrIO2.

```
data_LaIrIO2
_chemical_formula_sum 'La1 Ir1 I1 O2'
_cell_length_a 4.227
_cell_length_b 4.227
_cell_length_c 7.280
_cell_angle_alpha 90.00
_cell_angle_beta 90.00
_cell_angle_gamma 90.00
_space_group_name_H-M_alt 'P 4/m m m'
_space_group_IT_number 123
_space_group_name_Hall '-P 4 2'
loop_
_atom_site_label
_atom_site_type_symbol
_atom_site_fract_x
_atom_site_fract_y
_atom_site_fract_z
La1 La 0.000 0.000 0.000
Ir1 Ir 0.500 0.500 0.500
I1 I 0.000 0.000 0.500
O1 O 0.000 0.500 0.000
```

Values from the calculation:
N(E_F) ... 0.541 states/eV per atom
Theoretical density ... 6256 kg/m³
ΔE_f (raw) ... -0.47 eV/atom

---

Record 2
DFT (PBE) results for a relaxed structure of TlCdHg2H.

```
data_TlCdHg2H
_chemical_formula_sum 'Tl1 Cd1 Hg2 H1'
_cell_length_a 5.890
_cell_length_b 5.890
_cell_length_c 3.633
_cell_angle_alpha 90.00
_cell_angle_beta 90.00
_cell_angle_gamma 90.00
_space_group_name_H-M_alt 'P 4/m m m'
_space_group_IT_number 123
_space_group_name_Hall '-P 4 2'
loop_
_atom_site_label
_atom_site_type_symbol
_atom_site_fract_x
_atom_site_fract_y
_atom_site_fract_z
Tl1 Tl 0.000 0.000 0.000
Cd1 Cd 0.500 0.500 0.500
Hg1 Hg 0.000 0.500 0.500
H1 H 0.500 0.500 0.000
```

Values from the calculation:
Total DFT energy (no corrections) ... -1.283 eV per atom
N(E_F) ... 0.413 states/eV per atom
Theoretical density ... 9472 kg/m³

---

Record 3
DFT (PBE) results for a relaxed structure of LiMg2Pb.

```
data_LiMg2Pb
_chemical_formula_sum 'Li4 Mg8 Pb4'
_cell_length_a 7.144
_cell_length_b 7.144
_cell_length_c 7.144
_cell_angle_alpha 90.00
_cell_angle_beta 90.00
_cell_angle_gamma 90.00
_space_group_name_H-M_alt 'F -4 3 m'
_space_group_IT_number 216
_space_group_name_Hall 'F -4 2 3'
loop_
_atom_site_label
_atom_site_type_symbol
_atom_site_fract_x
_atom_site_fract_y
_atom_site_fract_z
Li1 Li 0.000 0.000 0.000
Mg1 Mg 0.000 0.000 0.500
Mg2 Mg 0.250 0.250 0.250
Pb1 Pb 0.250 0.250 0.750
```

Values from the calculation:
N(E_F) ... 0.661 states/eV per atom
Theoretical density ... 4787 kg/m³
Formation energy from the elements ... -0.11 eV per atom

---

Record 4
DFT (PBE) results for a relaxed structure of Li2ScFe.

```
data_Li2ScFe
_chemical_formula_sum 'Li4 Sc2 Fe2'
_cell_length_a 3.664
_cell_length_b 3.664
_cell_length_c 9.768
_cell_angle_alpha 90.00
_cell_angle_beta 90.00
_cell_angle_gamma 90.00
_space_group_name_H-M_alt 'I 4/m m m'
_space_group_IT_number 139
_space_group_name_Hall '-I 4 2'
loop_
_atom_site_label
_atom_site_type_symbol
_atom_site_fract_x
_atom_site_fract_y
_atom_site_fract_z
Li1 Li 0.000 0.500 0.250
Sc1 Sc 0.000 0.000 0.000
Fe1 Fe 0.000 0.000 0.500
```

Values from the calculation:
N(E_F) ... 1.138 states/eV per atom
Theoretical density ... 2904 kg/m³
Formation energy from the elements ... 0.22 eV per atom

---

Record 5
DFT (PBE) results for a relaxed structure of MgHPtRh2.

```
data_MgHPtRh2
_chemical_formula_sum 'Mg1 H1 Pt1 Rh2'
_cell_length_a 3.898
_cell_length_b 3.898
_cell_length_c 4.068
_cell_angle_alpha 90.00
_cell_angle_beta 90.00
_cell_angle_gamma 90.00
_space_group_name_H-M_alt 'P 4/m m m'
_space_group_IT_number 123
_space_group_name_Hall '-P 4 2'
loop_
_atom_site_label
_atom_site_type_symbol
_atom_site_fract_x
_atom_site_fract_y
_atom_site_fract_z
Mg1 Mg 0.000 0.000 0.000
H1 H 0.000 0.000 0.500
Pt1 Pt 0.500 0.500 0.000
Rh1 Rh 0.000 0.500 0.500
```

Values from the calculation:
Total DFT energy (no corrections) ... -5.460 eV per atom
N(E_F) ... 0.684 states/eV per atom
Theoretical density ... 11450 kg/m³

---

Record 6
DFT (PBE) results for a relaxed structure of LaDy2Ho5Sc.

```
data_LaDy2Ho5Sc
_chemical_formula_sum 'La4 Dy8 Ho20 Sc4'
_cell_length_a 5.573
_cell_length_b 19.641
_cell_length_c 10.350
_cell_angle_alpha 90.00
_cell_angle_beta 90.00
_cell_angle_gamma 90.00
_space_group_name_H-M_alt 'C m c 21'
_space_group_IT_number 36
_space_group_name_Hall 'C 2c -2'
loop_
_atom_site_label
_atom_site_type_symbol
_atom_site_fract_x
_atom_site_fract_y
_atom_site_fract_z
La1 La 0.000 0.085 0.000
Dy1 Dy 0.000 0.386 0.281
Dy2 Dy 0.000 0.389 0.862
Ho1 Ho 0.000 0.019 0.285
Ho2 Ho 0.000 0.124 0.568
Ho3 Ho 0.000 0.204 0.254
Ho4 Ho 0.000 0.223 0.870
Ho5 Ho 0.000 0.482 0.569
Sc1 Sc 0.000 0.303 0.561
```

Values from the calculation:
N(E_F) ... 1.631 states/eV per atom
Theoretical density ... 7818 kg/m³
Formation energy from the elements ... 0.18 eV per atom

---

Record 7
DFT (PBE) results for a relaxed structure of InSn2Pd.

```
data_InSn2Pd
_chemical_formula_sum 'In2 Sn4 Pd2'
_cell_length_a 4.312
_cell_length_b 8.685
_cell_length_c 5.369
_cell_angle_alpha 90.00
_cell_angle_beta 110.82
_cell_angle_gamma 90.00
_space_group_name_H-M_alt 'P 1 21/m 1'
_space_group_IT_number 11
_space_group_name_Hall '-P 2yb'
loop_
_atom_site_label
_atom_site_type_symbol
_atom_site_fract_x
_atom_site_fract_y
_atom_site_fract_z
In1 In 0.059 0.250 0.126
Sn1 Sn 0.343 0.049 0.711
Pd1 Pd 0.243 0.750 0.454
```

Values from the calculation:
N(E_F) ... 0.420 states/eV per atom
Theoretical density ... 8104 kg/m³
Formation energy from the elements ... -0.24 eV per atom

---

Record 8
DFT (PBE) results for a relaxed structure of Pr3OsI3.

```
data_Pr3OsI3
_chemical_formula_sum 'Pr6 Os2 I6'
_cell_length_a 9.387
_cell_length_b 4.374
_cell_length_c 12.752
_cell_angle_alpha 90.00
_cell_angle_beta 92.62
_cell_angle_gamma 90.00
_space_group_name_H-M_alt 'P 1 21/m 1'
_space_group_IT_number 11
_space_group_name_Hall '-P 2yb'
loop_
_atom_site_label
_atom_site_type_symbol
_atom_site_fract_x
_atom_site_fract_y
_atom_site_fract_z
Pr1 Pr 0.097 0.250 0.389
Pr2 Pr 0.114 0.250 0.830
Pr3 Pr 0.306 0.750 0.616
Os1 Os 0.107 0.250 0.618
I1 I 0.133 0.250 0.117
I2 I 0.364 0.750 0.872
I3 I 0.399 0.750 0.367
```

Values from the calculation:
N(E_F) ... 0.044 states/eV per atom
Theoretical density ... 6310 kg/m³
ΔE_f (raw) ... -0.95 eV/atom

---

Record 9
DFT (PBE) results for a relaxed structure of Ac2Tb4Ho7.

```
data_Ac2Tb4Ho7
_chemical_formula_sum 'Ac2 Tb4 Ho7'
_cell_length_a 6.1612
_cell_length_b 6.1612
_cell_length_c 13.4396
_cell_angle_alpha 90.00
_cell_angle_beta 90.00
_cell_angle_gamma 120.00
_space_group_name_H-M_alt 'P -3 1 m'
_space_group_IT_number 162
_space_group_name_Hall '-P 3 2'
loop_
_atom_site_label
_atom_site_type_symbol
_atom_site_fract_x
_atom_site_fract_y
_atom_site_fract_z
Ac1 Ac 0.3333 0.6667 0.0000
Tb1 Tb 0.0000 0.0000 0.3959
Tb2 Tb 0.3333 0.6667 0.5000
Ho1 Ho 0.0000 0.0000 0.0000
Ho2 Ho 0.0000 0.3523 0.7804
```

Values from the calculation:
N(E_F) ... 1.564 states/eV per atom
Theoretical density ... 8435 kg/m³
Formation energy from the elements ... 0.23 eV per atom

---

Record 10
DFT (PBE) results for a relaxed structure of DyHoZn3.

```
data_DyHoZn3
_chemical_formula_sum 'Dy4 Ho4 Zn12'
_cell_length_a 3.578
_cell_length_b 26.763
_cell_length_c 4.466
_cell_angle_alpha 90.00
_cell_angle_beta 90.00
_cell_angle_gamma 90.00
_space_group_name_H-M_alt 'C m c m'
_space_group_IT_number 63
_space_group_name_Hall '-C 2c 2'
loop_
_atom_site_label
_atom_site_type_symbol
_atom_site_fract_x
_atom_site_fract_y
_atom_site_fract_z
Dy1 Dy 0.000 0.073 0.250
Ho1 Ho 0.000 0.209 0.750
Zn1 Zn 0.000 0.329 0.750
Zn2 Zn 0.000 0.382 0.250
Zn3 Zn 0.000 0.477 0.250
```

Values from the calculation:
N(E_F) ... 0.960 states/eV per atom
Theoretical density ... 8134 kg/m³
Formation energy from the elements ... -0.34 eV per atom

---

Record 11
DFT (PBE) results for a relaxed structure of OsPt3.

```
data_OsPt3
_chemical_formula_sum 'Os2 Pt6'
_cell_length_a 5.546
_cell_length_b 7.971
_cell_length_c 2.766
_cell_angle_alpha 90.00
_cell_angle_beta 90.00
_cell_angle_gamma 90.00
_space_group_name_H-M_alt 'C m m m'
_space_group_IT_number 65
_space_group_name_Hall '-C 2 2'
loop_
_atom_site_label
_atom_site_type_symbol
_atom_site_fract_x
_atom_site_fract_y
_atom_site_fract_z
Os1 Os 0.000 0.000 0.000
Pt1 Pt 0.000 0.500 0.000
Pt2 Pt 0.250 0.250 0.500
```

Values from the calculation:
N(E_F) ... 1.520 states/eV per atom
Theoretical density ... 21060 kg/m³
Formation energy from the elements ... 0.15 eV per atom

---

Record 12
DFT (PBE) results for a relaxed structure of Ac3DyRh8.

```
data_Ac3DyRh8
_chemical_formula_sum 'Ac9 Dy3 Rh24'
_cell_length_a 5.4944
_cell_length_b 5.4944
_cell_length_c 27.0245
_cell_angle_alpha 90.00
_cell_angle_beta 90.00
_cell_angle_gamma 120.00
_space_group_name_H-M_alt 'R 3 m'
_space_group_IT_number 160
_space_group_name_Hall 'R 3 -2"'
loop_
_atom_site_label
_atom_site_type_symbol
_atom_site_fract_x
_atom_site_fract_y
_atom_site_fract_z
Ac1 Ac 0.0000 0.0000 0.0000
Ac2 Ac 0.0000 0.0000 0.1258
Ac3 Ac 0.0000 0.0000 0.5036
Dy1 Dy 0.0000 0.0000 0.6278
Rh1 Rh 0.0000 0.0000 0.3136
Rh2 Rh 0.0000 0.0000 0.8140
Rh3 Rh 0.0000 0.5000 0.5660
Rh4 Rh 0.1675 0.3350 0.3954
```

Values from the calculation:
N(E_F) ... 0.557 states/eV per atom
Theoretical density ... 11752 kg/m³
Formation energy from the elements ... -0.60 eV per atom